{
  "formula": "KGe3Te3",
  "functional": "GGA-PBE",
  "state": "optimized geometry",
  "spacegroup": "R-3, No. 148",
  "volume_a3_per_cell": 469.56,
  "energy_ha_per_atom": -0.13186,
  "dos_at_fermi_per_ev_atom": 0.2676,
  "formation_energy_uncorrected_mev_per_atom": -105.9,
  "rho_g_cm3": 4.53,
  "magmom_total_mub_per_fu": 0.00,
  "lattice_angstrom": [[9.1477, 0.0000, 0.0000], [4.5739, 7.9222, 0.0000], [4.5739, 2.6407, 6.4793]],
  "species": ["Ge", "Ge", "Ge", "Ge", "Ge", "Ge", "K", "K", "Te", "Te", "Te", "Te", "Te", "Te"],
  "fractional_positions": [[0.4264, 0.7616, 0.6710], [0.7616, 0.1411, 0.6710], [0.8589, 0.5736, 0.3290], [0.5736, 0.2384, 0.3290], [0.2384, 0.8589, 0.3290], [0.1411, 0.4264, 0.6710], [0.6649, 0.6649, 0.0054], [0.3351, 0.3351, 0.9946], [0.0683, 0.8170, 0.7350], [0.9317, 0.1830, 0.2650], [0.6204, 0.9317, 0.2650], [0.1830, 0.6204, 0.2650], [0.8170, 0.3796, 0.7350], [0.3796, 0.0683, 0.7350]]
}